# 1
## CaHoMg2Hg4 (PBE-GGA)

Data for an optimized crystal structure of CaHoMg2Hg4.

Geometry as extended XYZ:
```
8
Lattice="2.536 1.464 8.390 -2.536 1.464 8.390 0.000 -2.928 8.390" Properties=species:S:1:pos:R:3 pbc="T T T"
Ca 0.000 0.000 0.000
Ho 0.000 0.000 12.585
Mg 0.000 0.000 6.280
Mg 0.000 0.000 18.889
Hg 0.000 0.000 3.161
Hg 0.000 0.000 9.479
Hg 0.000 0.000 15.690
Hg 0.000 0.000 22.008
```

Results
space-group type = R-3m (166)
final energy = -1.807 eV per atom
formation energy from the elements = -0.44 eV/atom
N(E_F) = 4.1 states/eV/cell

---

# 2
## CaHoMgHg (PBE-GGA)

Data for an optimized crystal structure of CaHoMgHg.

Geometry as extended XYZ:
```
16
Lattice="7.552 0.000 0.000 0.000 7.552 0.000 0.000 0.000 7.552" Properties=species:S:1:pos:R:3 pbc="T T T"
Ca 0.000 0.000 0.000
Ca 0.000 3.776 3.776
Ca 3.776 0.000 3.776
Ca 3.776 3.776 0.000
Ho 0.000 0.000 3.776
Ho 0.000 3.776 0.000
Ho 3.776 0.000 0.000
Ho 3.776 3.776 3.776
Mg 1.888 1.888 1.888
Mg 1.888 5.664 5.664
Mg 5.664 1.888 5.664
Mg 5.664 5.664 1.888
Hg 1.888 1.888 5.664
Hg 1.888 5.664 1.888
Hg 5.664 1.888 1.888
Hg 5.664 5.664 5.664
```

Results
space-group type = F-43m (216)
final energy = -2.394 eV per atom
formation energy from the elements = -0.28 eV/atom
energy above the most stable polymorph in this dataset = 27 meV/atom
N(E_F) = 15.0 states/eV/cell

---

# 3
## CaHoMgHg (PBE-GGA)

Data for an optimized crystal structure of CaHoMgHg.

Geometry as extended XYZ:
```
4
Lattice="3.816 0.000 0.000 0.000 3.816 0.000 0.000 0.000 7.551" Properties=species:S:1:pos:R:3 pbc="T T T"
Ca 0.000 0.000 0.000
Ho 0.000 0.000 3.599
Mg 1.908 1.908 5.486
Hg 1.908 1.908 1.945
```

Results
space-group type = P4mm (99)
final energy = -2.421 eV per atom
formation energy from the elements = -0.30 eV/atom
energy above the most stable polymorph in this dataset = 0 meV/atom
N(E_F) = 2.9 states/eV/cell

---

# 4
## CaHo2MgHg4 (PBE-GGA)

Data for an optimized crystal structure of CaHo2MgHg4.

Geometry as extended XYZ:
```
8
Lattice="2.583 1.491 8.487 -2.583 1.491 8.487 0.000 -2.983 8.487" Properties=species:S:1:pos:R:3 pbc="T T T"
Ca 0.000 0.000 0.000
Ho 0.000 0.000 6.277
Ho 0.000 0.000 19.184
Mg 0.000 0.000 12.730
Hg 0.000 0.000 3.187
Hg 0.000 0.000 9.568
Hg 0.000 0.000 15.892
Hg 0.000 0.000 22.273
```

Results
space-group type = R-3m (166)
final energy = -2.217 eV per atom
formation energy from the elements = -0.47 eV/atom
N(E_F) = 4.3 states/eV/cell

---

# 5
## NaCaHo2Hg4 (PBE-GGA)

Data for an optimized crystal structure of NaCaHo2Hg4.

Geometry as extended XYZ:
```
8
Lattice="2.612 1.508 8.546 -2.612 1.508 8.546 0.000 -3.016 8.546" Properties=species:S:1:pos:R:3 pbc="T T T"
Na 0.000 0.000 0.000
Ca 0.000 0.000 12.819
Ho 0.000 0.000 6.463
Ho 0.000 0.000 19.174
Hg 0.000 0.000 3.188
Hg 0.000 0.000 9.601
Hg 0.000 0.000 16.036
Hg 0.000 0.000 22.450
```

Results
space-group type = R-3m (166)
final energy = -2.131 eV per atom
formation energy from the elements = -0.42 eV/atom
N(E_F) = 5.1 states/eV/cell

---

# 6
## NaCaHoHg (PBE-GGA)

Data for an optimized crystal structure of NaCaHoHg.

Geometry as extended XYZ:
```
16
Lattice="7.634 0.000 0.000 0.000 7.634 0.000 0.000 0.000 7.634" Properties=species:S:1:pos:R:3 pbc="T T T"
Na 0.000 0.000 0.000
Na 0.000 3.817 3.817
Na 3.817 0.000 3.817
Na 3.817 3.817 0.000
Ca 1.909 1.909 1.909
Ca 1.909 5.726 5.726
Ca 5.726 1.909 5.726
Ca 5.726 5.726 1.909
Ho 1.909 1.909 5.726
Ho 1.909 5.726 1.909
Ho 5.726 1.909 1.909
Ho 5.726 5.726 5.726
Hg 0.000 0.000 3.817
Hg 0.000 3.817 0.000
Hg 3.817 0.000 0.000
Hg 3.817 3.817 3.817
```

Results
space-group type = F-43m (216)
final energy = -2.162 eV per atom
formation energy from the elements = -0.11 eV/atom
N(E_F) = 16.0 states/eV/cell

---

# 7
## CaNdHo2Hg4 (PBE-GGA)

Data for an optimized crystal structure of CaNdHo2Hg4.

Geometry as extended XYZ:
```
8
Lattice="2.650 1.530 8.704 -2.650 1.530 8.704 0.000 -3.060 8.704" Properties=species:S:1:pos:R:3 pbc="T T T"
Ca 0.000 0.000 0.000
Nd 0.000 0.000 13.057
Ho 0.000 0.000 6.589
Ho 0.000 0.000 19.524
Hg 0.000 0.000 3.236
Hg 0.000 0.000 9.789
Hg 0.000 0.000 16.325
Hg 0.000 0.000 22.878
```

Results
space-group type = R-3m (166)
final energy = -2.636 eV per atom
formation energy from the elements = -0.49 eV/atom
N(E_F) = 6.3 states/eV/cell

---

# 8
## CaNd2HoHg4 (PBE-GGA)

Data for an optimized crystal structure of CaNd2HoHg4.

Geometry as extended XYZ:
```
8
Lattice="2.683 1.549 8.745 -2.683 1.549 8.745 0.000 -3.098 8.745" Properties=species:S:1:pos:R:3 pbc="T T T"
Ca 0.000 0.000 0.000
Nd 0.000 0.000 6.598
Nd 0.000 0.000 19.636
Ho 0.000 0.000 13.117
Hg 0.000 0.000 3.330
Hg 0.000 0.000 9.892
Hg 0.000 0.000 16.342
Hg 0.000 0.000 22.905
```

Results
space-group type = R-3m (166)
final energy = -2.676 eV per atom
formation energy from the elements = -0.51 eV/atom
N(E_F) = 5.3 states/eV/cell

---

# 9
## Ca2HoHg4Pb (PBE-GGA)

Data for an optimized crystal structure of Ca2HoHg4Pb.

Geometry as extended XYZ:
```
8
Lattice="2.639 1.524 8.826 -2.639 1.524 8.826 0.000 -3.047 8.826" Properties=species:S:1:pos:R:3 pbc="T T T"
Ca 0.000 0.000 6.440
Ca 0.000 0.000 20.039
Ho 0.000 0.000 0.000
Hg 0.000 0.000 3.096
Hg 0.000 0.000 9.603
Hg 0.000 0.000 16.876
Hg 0.000 0.000 23.383
Pb 0.000 0.000 13.239
```

Results
space-group type = R-3m (166)
final energy = -2.137 eV per atom
formation energy from the elements = -0.45 eV/atom
N(E_F) = 4.0 states/eV/cell

---

# 10
## CaHoHgPd (PBE-GGA)

Data for an optimized crystal structure of CaHoHgPd.

Geometry as extended XYZ:
```
16
Lattice="7.231 0.000 0.000 0.000 7.231 0.000 0.000 0.000 7.231" Properties=species:S:1:pos:R:3 pbc="T T T"
Ca 0.000 0.000 0.000
Ca 0.000 3.615 3.615
Ca 3.615 0.000 3.615
Ca 3.615 3.615 0.000
Ho 0.000 0.000 3.615
Ho 0.000 3.615 0.000
Ho 3.615 0.000 0.000
Ho 3.615 3.615 3.615
Hg 1.808 1.808 5.423
Hg 1.808 5.423 1.808
Hg 5.423 1.808 1.808
Hg 5.423 5.423 5.423
Pd 1.808 1.808 1.808
Pd 1.808 5.423 5.423
Pd 5.423 1.808 5.423
Pd 5.423 5.423 1.808
```

Results
space-group type = F-43m (216)
final energy = -3.622 eV per atom
formation energy from the elements = -0.60 eV/atom
N(E_F) = 14.2 states/eV/cell

---

# 11
## Ca2PrHoHg4 (PBE-GGA)

Data for an optimized crystal structure of Ca2PrHoHg4.

Geometry as extended XYZ:
```
8
Lattice="2.668 1.540 8.745 -2.668 1.540 8.745 0.000 -3.081 8.745" Properties=species:S:1:pos:R:3 pbc="T T T"
Ca 0.000 0.000 6.531
Ca 0.000 0.000 19.706
Pr 0.000 0.000 0.000
Ho 0.000 0.000 13.118
Hg 0.000 0.000 3.334
Hg 0.000 0.000 9.919
Hg 0.000 0.000 16.317
Hg 0.000 0.000 22.902
```

Results
space-group type = R-3m (166)
final energy = -2.351 eV per atom
formation energy from the elements = -0.53 eV/atom
N(E_F) = 6.1 states/eV/cell

---

# 12
## CaHoHgPt (PBE-GGA)

Data for an optimized crystal structure of CaHoHgPt.

Geometry as extended XYZ:
```
16
Lattice="7.181 0.000 0.000 0.000 7.181 0.000 0.000 0.000 7.181" Properties=species:S:1:pos:R:3 pbc="T T T"
Ca 0.000 0.000 0.000
Ca 0.000 3.591 3.591
Ca 3.591 0.000 3.591
Ca 3.591 3.591 0.000
Ho 0.000 0.000 3.591
Ho 0.000 3.591 0.000
Ho 3.591 0.000 0.000
Ho 3.591 3.591 3.591
Hg 1.795 1.795 1.795
Hg 1.795 5.386 5.386
Hg 5.386 1.795 5.386
Hg 5.386 5.386 1.795
Pt 1.795 1.795 5.386
Pt 1.795 5.386 1.795
Pt 5.386 1.795 1.795
Pt 5.386 5.386 5.386
```

Results
space-group type = F-43m (216)
final energy = -3.984 eV per atom
formation energy from the elements = -0.75 eV/atom
N(E_F) = 10.3 states/eV/cell

---

# 13
## CaHoHgRh (PBE-GGA)

Data for an optimized crystal structure of CaHoHgRh.

Geometry as extended XYZ:
```
16
Lattice="7.137 0.000 0.000 0.000 7.137 0.000 0.000 0.000 7.137" Properties=species:S:1:pos:R:3 pbc="T T T"
Ca 0.000 0.000 0.000
Ca 0.000 3.569 3.569
Ca 3.569 0.000 3.569
Ca 3.569 3.569 0.000
Ho 0.000 0.000 3.569
Ho 0.000 3.569 0.000
Ho 3.569 0.000 0.000
Ho 3.569 3.569 3.569
Hg 1.784 1.784 5.353
Hg 1.784 5.353 1.784
Hg 5.353 1.784 1.784
Hg 5.353 5.353 5.353
Rh 1.784 1.784 1.784
Rh 1.784 5.353 5.353
Rh 5.353 1.784 5.353
Rh 5.353 5.353 1.784
```

Results
space-group type = F-43m (216)
final energy = -4.068 eV per atom
formation energy from the elements = -0.51 eV/atom
N(E_F) = 9.6 states/eV/cell

---

# 14
## CaHoSnHg (PBE-GGA)

Data for an optimized crystal structure of CaHoSnHg.

Geometry as extended XYZ:
```
16
Lattice="7.539 0.000 0.000 0.000 7.539 0.000 0.000 0.000 7.539" Properties=species:S:1:pos:R:3 pbc="T T T"
Ca 0.000 0.000 0.000
Ca 0.000 3.770 3.770
Ca 3.770 0.000 3.770
Ca 3.770 3.770 0.000
Ho 0.000 0.000 3.770
Ho 0.000 3.770 0.000
Ho 3.770 0.000 0.000
Ho 3.770 3.770 3.770
Sn 1.885 1.885 5.655
Sn 1.885 5.655 1.885
Sn 5.655 1.885 1.885
Sn 5.655 5.655 5.655
Hg 1.885 1.885 1.885
Hg 1.885 5.655 5.655
Hg 5.655 1.885 5.655
Hg 5.655 5.655 1.885
```

Results
space-group type = F-43m (216)
final energy = -3.289 eV per atom
formation energy from the elements = -0.57 eV/atom
energy above the most stable polymorph in this dataset = 2 meV/atom
N(E_F) = 12.6 states/eV/cell

---

# 15
## CaHoSnHg (PBE-GGA)

Data for an optimized crystal structure of CaHoSnHg.

Geometry as extended XYZ:
```
4
Lattice="3.765 0.000 0.000 0.000 3.765 0.000 0.000 0.000 7.589" Properties=species:S:1:pos:R:3 pbc="T T T"
Ca 0.000 0.000 0.000
Ho 0.000 0.000 3.883
Sn 1.882 1.882 2.003
Hg 1.882 1.882 5.653
```

Results
space-group type = P4mm (99)
final energy = -3.291 eV per atom
formation energy from the elements = -0.57 eV/atom
energy above the most stable polymorph in this dataset = 0 meV/atom
N(E_F) = 3.0 states/eV/cell

---

# 16
## CaTb2HoHg4 (PBE-GGA)

Data for an optimized crystal structure of CaTb2HoHg4.

Geometry as extended XYZ:
```
8
Lattice="2.638 1.523 8.624 -2.638 1.523 8.624 0.000 -3.046 8.624" Properties=species:S:1:pos:R:3 pbc="T T T"
Ca 0.000 0.000 0.000
Tb 0.000 0.000 6.501
Tb 0.000 0.000 19.370
Ho 0.000 0.000 12.935
Hg 0.000 0.000 3.272
Hg 0.000 0.000 9.744
Hg 0.000 0.000 16.127
Hg 0.000 0.000 22.599
```

Results
space-group type = R-3m (166)
final energy = -2.645 eV per atom
formation energy from the elements = -0.51 eV/atom
N(E_F) = 4.0 states/eV/cell

---

# 17
## CaTbHo2Hg4 (PBE-GGA)

Data for an optimized crystal structure of CaTbHo2Hg4.

Geometry as extended XYZ:
```
8
Lattice="2.632 1.520 8.607 -2.632 1.520 8.607 0.000 -3.039 8.607" Properties=species:S:1:pos:R:3 pbc="T T T"
Ca 0.000 0.000 0.000
Tb 0.000 0.000 12.910
Ho 0.000 0.000 6.493
Ho 0.000 0.000 19.327
Hg 0.000 0.000 3.253
Hg 0.000 0.000 9.713
Hg 0.000 0.000 16.107
Hg 0.000 0.000 22.568
```

Results
space-group type = R-3m (166)
final energy = -2.633 eV per atom
formation energy from the elements = -0.51 eV/atom
N(E_F) = 4.6 states/eV/cell

---

# 18
## CaHoTlHg (PBE-GGA)

Data for an optimized crystal structure of CaHoTlHg.

Geometry as extended XYZ:
```
16
Lattice="7.561 0.000 0.000 0.000 7.561 0.000 0.000 0.000 7.561" Properties=species:S:1:pos:R:3 pbc="T T T"
Ca 0.000 0.000 0.000
Ca 0.000 3.781 3.781
Ca 3.781 0.000 3.781
Ca 3.781 3.781 0.000
Ho 0.000 0.000 3.781
Ho 0.000 3.781 0.000
Ho 3.781 0.000 0.000
Ho 3.781 3.781 3.781
Tl 1.890 1.890 5.671
Tl 1.890 5.671 1.890
Tl 5.671 1.890 1.890
Tl 5.671 5.671 5.671
Hg 1.890 1.890 1.890
Hg 1.890 5.671 5.671
Hg 5.671 1.890 5.671
Hg 5.671 5.671 1.890
```

Results
space-group type = F-43m (216)
final energy = -2.770 eV per atom
formation energy from the elements = -0.46 eV/atom
N(E_F) = 8.1 states/eV/cell

---

# 19
## CaHoTm2Hg4 (PBE-GGA)

Data for an optimized crystal structure of CaHoTm2Hg4.

Geometry as extended XYZ:
```
8
Lattice="2.615 1.510 8.548 -2.615 1.510 8.548 0.000 -3.019 8.548" Properties=species:S:1:pos:R:3 pbc="T T T"
Ca 0.000 0.000 0.000
Ho 0.000 0.000 12.822
Tm 0.000 0.000 6.436
Tm 0.000 0.000 19.208
Hg 0.000 0.000 3.233
Hg 0.000 0.000 9.650
Hg 0.000 0.000 15.995
Hg 0.000 0.000 22.412
```

Results
space-group type = R-3m (166)
final energy = -2.594 eV per atom
formation energy from the elements = -0.50 eV/atom
N(E_F) = 4.0 states/eV/cell

---

# 20
## CaHoZnHg (PBE-GGA)

Data for an optimized crystal structure of CaHoZnHg.

Geometry as extended XYZ:
```
16
Lattice="7.350 0.000 0.000 0.000 7.350 0.000 0.000 0.000 7.350" Properties=species:S:1:pos:R:3 pbc="T T T"
Ca 0.000 0.000 0.000
Ca 0.000 3.675 3.675
Ca 3.675 0.000 3.675
Ca 3.675 3.675 0.000
Ho 0.000 0.000 3.675
Ho 0.000 3.675 0.000
Ho 3.675 0.000 0.000
Ho 3.675 3.675 3.675
Zn 1.837 1.837 5.512
Zn 1.837 5.512 1.837
Zn 5.512 1.837 1.837
Zn 5.512 5.512 5.512
Hg 1.837 1.837 1.837
Hg 1.837 5.512 5.512
Hg 5.512 1.837 5.512
Hg 5.512 5.512 1.837
```

Results
space-group type = F-43m (216)
final energy = -2.437 eV per atom
formation energy from the elements = -0.40 eV/atom
energy above the most stable polymorph in this dataset = 13 meV/atom
N(E_F) = 14.4 states/eV/cell